Entry 1:
The following is a GGA-PBEsol calculation of crystalline RhAu2SeF at its relaxed geometry, from Alexandria.

a = 4.692 Å, b = 4.692 Å, c = 3.958 Å
α = 90.00°, β = 90.00°, γ = 90.00°
Space group P4/mmm (No. 123)
One atom of each set of equivalent atoms:
Rh (0.000, 0.000, 0.000)
Au (0.000, 0.500, 0.500)
Se (0.500, 0.500, 0.000)
F (0.000, 0.000, 0.500)



Entry 2:
The following is a GGA-PBEsol calculation of crystalline AuSF2 at its relaxed geometry, from Alexandria.

a = 5.867 Å, b = 5.867 Å, c = 5.867 Å
α = 90.00°, β = 90.00°, γ = 90.00°
Space group Fm-3m (No. 225)
One atom of each set of equivalent atoms:
Au (0.000, 0.000, 0.000)
S (0.000, 0.000, 0.500)
F (0.250, 0.250, 0.250)



Entry 3:
The following is a GGA-PBEsol calculation of crystalline Sb2AuF at its relaxed geometry, from Alexandria.

a = 6.656 Å, b = 6.656 Å, c = 6.656 Å
α = 90.00°, β = 90.00°, γ = 90.00°
Space group Fm-3m (No. 225)
One atom of each set of equivalent atoms:
Sb (0.250, 0.250, 0.250)
Au (0.000, 0.000, 0.000)
F (0.000, 0.000, 0.500)



Sequential raw formation energy output: 3.193 0.448 -2.555 eV per formula unit
Sequential calculated total energy output: -3.7143 -2.9288 -4.3802 eV/atom